MgReAg2 | GGA-PBE | optimized geometry

Geometry as POSCAR:
```
MgReAg2
1.0
2.758 0.000 0.000
0.000 2.758 0.000
0.000 0.000 8.799
Mg Re Ag
1 1 2
direct
0.000 0.000 0.000
0.000 0.000 0.500
0.500 0.500 0.249
0.500 0.500 0.751
```

Calculated values
Space group: P4/mmm, No. 123
Calculated volume (Å³ per atom): 16.73
Formation enthalpy at 0 K (meV/atom): 374